(1)
## KCr2P (PBE-GGA)

Data for KCr2P after structural relaxation.

Calculated values
Energy of formation from the pure elements = 241 meV per atom
D(E_F) = 1.4 states/eV per cell

Cell: 3.096 3.096 7.827 Å, 90.00 90.00 90.00°
Positions (direct):
K  0.000  0.000  0.000
Cr  0.000  0.000  0.456
Cr  0.500  0.500  0.629
P  0.500  0.500  0.305

(2)
## TeWAu2 (PBE-GGA)

Data for TeWAu2 after structural relaxation.

Calculated values
Uncorrected energy = -5.0142 eV/atom
D(E_F) = 2.0 states/eV per cell

Cell: 5.483 5.483 2.876 Å, 90.00 90.00 117.59°
Positions (direct):
Te  0.000  0.000  0.000
W  0.500  0.500  0.000
Au  0.000  0.500  0.500
Au  0.500  0.000  0.500

(3)
## SrReAg2 (PBE-GGA)

Data for SrReAg2 after structural relaxation.

Calculated values
Energy of formation from the pure elements = 1055 meV per atom
Distance to the lowest polymorph of the same formula = 383.1 meV/atom
D(E_F) = 8.4 states/eV per cell

Cell: 9.927 9.927 9.927 Å, 151.27 151.27 41.08°
Positions (direct):
Sr  0.000  0.000  0.000
Sr  0.750  0.250  0.500
Re  0.250  0.750  0.500
Re  0.500  0.500  0.000
Ag  0.264  0.625  0.139
Ag  0.375  0.514  0.639
Ag  0.486  0.125  0.861
Ag  0.875  0.736  0.361